Entry 1:
PmTeO | GGA-PBE | optimized geometry

a b c (Å): 3.8525 3.8525 5.6540
angles (deg): 90.00 90.00 120.00
Element x y z (fractional)
Pm 0.0000 0.0000 0.0000
Te 0.6667 0.3333 0.5000
O 0.3333 0.6667 0.0000

Properties
SG: P-6m2
Excess energy over the best structure of this formula in the dataset, meV/atom: 72.4
Uncorrected energy, eV/atom: -6.369
Density of states at the Fermi level, states/eV/atom: 0.5335
Volume, Å³ per cell: 73

Entry 2:
Pm4Te5O | GGA-PBE | optimized geometry

a b c (Å): 8.7967 8.7967 11.4512
angles (deg): 106.87 106.87 30.20
Element x y z (fractional)
Pm 0.0040 0.0040 0.3149
Pm 0.3702 0.3702 0.9376
Pm 0.6298 0.6298 0.0624
Pm 0.9960 0.9960 0.6851
Te 0.1569 0.1569 0.8784
Te 0.1644 0.1644 0.2672
Te 0.5000 0.5000 0.5000
Te 0.8356 0.8356 0.7328
Te 0.8431 0.8431 0.1216
O 0.5000 0.5000 0.0000

Properties
SG: C2/m
Uncorrected energy, eV/atom: -5.446
Density of states at the Fermi level, states/eV/atom: 0.0810
Volume, Å³ per cell: 425

Entry 3:
Pm2TeO6 | GGA-PBE | optimized geometry

a b c (Å): 5.6058 5.9972 9.4139
angles (deg): 90.00 120.32 90.00
Element x y z (fractional)
Pm 0.1996 0.0715 0.2408
Pm 0.1996 0.4285 0.7408
Pm 0.8004 0.5715 0.2592
Pm 0.8004 0.9285 0.7592
Te 0.5000 0.0000 0.0000
Te 0.5000 0.5000 0.5000
O 0.1727 0.1713 0.9531
O 0.1727 0.3287 0.4531
O 0.2535 0.7413 0.9007
O 0.2535 0.7587 0.4007
O 0.4442 0.0872 0.7879
O 0.4442 0.4128 0.2879
O 0.5558 0.5872 0.7121
O 0.5558 0.9128 0.2121
O 0.7465 0.2413 0.5993
O 0.7465 0.2587 0.0993
O 0.8273 0.6713 0.5469
O 0.8273 0.8287 0.0469

Properties
SG: P2_1/c
Uncorrected energy, eV/atom: -7.163
Density of states at the Fermi level, states/eV/atom: 0.0000
Volume, Å³ per cell: 273

Entry 4:
Pm6TeO12 | GGA-PBE | optimized geometry

a b c (Å): 6.6929 6.6929 6.6929
angles (deg): 98.59 98.59 98.59
Element x y z (fractional)
Pm 0.1098 0.8115 0.6451
Pm 0.1885 0.3549 0.8902
Pm 0.3549 0.8902 0.1885
Pm 0.6451 0.1098 0.8115
Pm 0.8115 0.6451 0.1098
Pm 0.8902 0.1885 0.3549
Te 0.5000 0.5000 0.5000
O 0.0618 0.9062 0.3226
O 0.0938 0.6774 0.9382
O 0.2089 0.4320 0.5318
O 0.3226 0.0618 0.9062
O 0.4320 0.5318 0.2089
O 0.4682 0.7911 0.5680
O 0.5318 0.2089 0.4320
O 0.5680 0.4682 0.7911
O 0.6774 0.9382 0.0938
O 0.7911 0.5680 0.4682
O 0.9062 0.3226 0.0618
O 0.9382 0.0938 0.6774

Properties
SG: R-3
Uncorrected energy, eV/atom: -7.809
Density of states at the Fermi level, states/eV/atom: 0.0000
Volume, Å³ per cell: 289

Entry 5:
Pm3TeO6 | GGA-PBE | optimized geometry

a b c (Å): 7.4308 7.4308 5.8321
angles (deg): 90.00 90.00 103.10
Element x y z (fractional)
Pm 0.0998 0.9002 0.5000
Pm 0.1938 0.4074 0.5592
Pm 0.4074 0.1938 0.0592
Pm 0.5926 0.8062 0.5592
Pm 0.8062 0.5926 0.0592
Pm 0.9002 0.0998 0.0000
Te 0.3394 0.6606 0.0562
Te 0.6606 0.3394 0.5562
O 0.0928 0.6154 0.2488
O 0.1434 0.1771 0.2790
O 0.1771 0.1434 0.7790
O 0.2742 0.7258 0.7020
O 0.3846 0.9072 0.2488
O 0.4726 0.5274 0.3122
O 0.5274 0.4726 0.8122
O 0.6154 0.0928 0.7488
O 0.7258 0.2742 0.2020
O 0.8229 0.8566 0.2790
O 0.8566 0.8229 0.7790
O 0.9072 0.3846 0.7488

Properties
SG: Cmc2_1
Uncorrected energy, eV/atom: -7.401
Density of states at the Fermi level, states/eV/atom: 0.2972
Volume, Å³ per cell: 314

Entry 6:
Pm3TeO3 | GGA-PBE | optimized geometry

a b c (Å): 9.2503 9.2503 4.1656
angles (deg): 90.00 90.00 120.00
Element x y z (fractional)
Pm 0.0883 0.6902 0.2500
Pm 0.3098 0.3981 0.2500
Pm 0.3981 0.0883 0.7500
Pm 0.6019 0.9117 0.2500
Pm 0.6902 0.6019 0.7500
Pm 0.9117 0.3098 0.7500
Te 0.3333 0.6667 0.7500
Te 0.6667 0.3333 0.2500
O 0.0488 0.3847 0.2500
O 0.3359 0.9512 0.2500
O 0.3847 0.3359 0.7500
O 0.6153 0.6641 0.2500
O 0.6641 0.0488 0.7500
O 0.9512 0.6153 0.7500

Properties
SG: P6_3/m
Excess energy over the best structure of this formula in the dataset, meV/atom: 187.2
Uncorrected energy, eV/atom: -7.217
Density of states at the Fermi level, states/eV/atom: 0.3876
Volume, Å³ per cell: 309

Entry 7:
PmTeO | GGA-PBE | optimized geometry

a b c (Å): 6.7526 4.3425 9.6006
angles (deg): 90.00 93.07 90.00
Element x y z (fractional)
Pm 0.1858 0.0000 0.1496
Pm 0.3142 0.5000 0.8504
Pm 0.6858 0.5000 0.1496
Pm 0.8142 0.0000 0.8504
Te 0.0947 0.5000 0.3772
Te 0.4053 0.0000 0.6228
Te 0.5947 0.0000 0.3772
Te 0.9053 0.5000 0.6228
O 0.1698 0.0000 0.9062
O 0.3302 0.5000 0.0938
O 0.6698 0.5000 0.9062
O 0.8302 0.0000 0.0938

Properties
SG: C2/m
Excess energy over the best structure of this formula in the dataset, meV/atom: 0.0
Uncorrected energy, eV/atom: -6.441
Volume, Å³ per cell: 281

Entry 8:
PmTiTeO6 | GGA-PBE | optimized geometry

a b c (Å): 5.3175 5.3175 10.0876
angles (deg): 90.00 90.00 120.00
Element x y z (fractional)
Pm 0.0000 0.0000 0.0000
Pm 0.0000 0.0000 0.5000
Ti 0.3333 0.6667 0.2500
Ti 0.6667 0.3333 0.7500
Te 0.3333 0.6667 0.7500
Te 0.6667 0.3333 0.2500
O 0.0068 0.3680 0.1410
O 0.0068 0.6389 0.3590
O 0.3611 0.3680 0.3590
O 0.3611 0.9932 0.1410
O 0.3680 0.0068 0.6410
O 0.3680 0.3611 0.8590
O 0.6320 0.6389 0.1410
O 0.6320 0.9932 0.3590
O 0.6389 0.0068 0.8590
O 0.6389 0.6320 0.6410
O 0.9932 0.3611 0.6410
O 0.9932 0.6320 0.8590

Properties
SG: P-31c
Uncorrected energy, eV/atom: -7.394
Density of states at the Fermi level, states/eV/atom: 0.6281
Volume, Å³ per cell: 247

Entry 9:
PmTi2TeO8 | GGA-PBE | optimized geometry

a b c (Å): 4.9095 4.9095 6.8565
angles (deg): 95.15 95.15 82.17
Element x y z (fractional)
Pm 0.0000 0.0000 0.0000
Ti 0.4410 0.4410 0.7679
Ti 0.5590 0.5590 0.2321
Te 0.0000 0.0000 0.5000
O 0.2102 0.7808 0.2741
O 0.2192 0.7898 0.7259
O 0.2744 0.2744 0.5436
O 0.3238 0.3238 0.9853
O 0.6762 0.6762 0.0147
O 0.7256 0.7256 0.4564
O 0.7808 0.2102 0.2741
O 0.7898 0.2192 0.7259

Properties
SG: C2/m
Uncorrected energy, eV/atom: -7.695
Density of states at the Fermi level, states/eV/atom: 0.2995
Volume, Å³ per cell: 163

Entry 10:
Pm2Ti2Te2O5 | GGA-PBE | optimized geometry

a b c (Å): 14.0060 14.0060 14.0060
angles (deg): 163.94 163.94 22.78
Element x y z (fractional)
Pm 0.1363 0.1363 0.0000
Pm 0.8637 0.8637 0.0000
Ti 0.4340 0.4340 0.0000
Ti 0.5660 0.5660 0.0000
Te 0.3072 0.3072 0.0000
Te 0.6928 0.6928 0.0000
O 0.0819 0.5819 0.5000
O 0.4181 0.9181 0.5000
O 0.5000 0.5000 0.0000
O 0.5819 0.0819 0.5000
O 0.9181 0.4181 0.5000

Properties
SG: I4/mmm
Uncorrected energy, eV/atom: -7.760
Density of states at the Fermi level, states/eV/atom: 0.1620
Volume, Å³ per cell: 210

Entry 11:
PmTiTeO2 | GGA-PBE | optimized geometry

a b c (Å): 7.0769 4.1345 7.5712
angles (deg): 90.00 116.00 90.00
Element x y z (fractional)
Pm 0.1863 0.2500 0.4482
Pm 0.8137 0.7500 0.5518
Ti 0.0997 0.2500 0.9316
Ti 0.9003 0.7500 0.0684
Te 0.4939 0.2500 0.2365
Te 0.5061 0.7500 0.7635
O 0.0079 0.7500 0.3580
O 0.0539 0.7500 0.9064
O 0.9461 0.2500 0.0936
O 0.9921 0.2500 0.6420

Properties
SG: P2_1/m
Uncorrected energy, eV/atom: -7.563
Density of states at the Fermi level, states/eV/atom: 0.4319
Volume, Å³ per cell: 199

Entry 12:
PmTl2TeO6 | GGA-PBE | optimized geometry

a b c (Å): 11.5638 11.5638 11.5638
angles (deg): 30.63 30.63 30.63
Element x y z (fractional)
Pm 0.0985 0.0985 0.0985
Pm 0.9015 0.9015 0.9015
Tl 0.2044 0.2044 0.2044
Tl 0.3351 0.3351 0.3351
Tl 0.6649 0.6649 0.6649
Tl 0.7956 0.7956 0.7956
Te 0.0000 0.0000 0.0000
Te 0.5000 0.5000 0.5000
O 0.1095 0.1095 0.6717
O 0.1095 0.6717 0.1095
O 0.2275 0.6865 0.6865
O 0.3135 0.3135 0.7725
O 0.3135 0.7725 0.3135
O 0.3283 0.8905 0.8905
O 0.6717 0.1095 0.1095
O 0.6865 0.2275 0.6865
O 0.6865 0.6865 0.2275
O 0.7725 0.3135 0.3135
O 0.8905 0.3283 0.8905
O 0.8905 0.8905 0.3283

Properties
SG: R-3m
Uncorrected energy, eV/atom: -5.655
Density of states at the Fermi level, states/eV/atom: 0.5344
Volume, Å³ per cell: 356

Entry 13:
PmTlTeO6 | GGA-PBE | optimized geometry

a b c (Å): 5.5545 5.5545 9.8930
angles (deg): 90.00 90.00 120.00
Element x y z (fractional)
Pm 0.0000 0.0000 0.0000
Pm 0.0000 0.0000 0.5000
Tl 0.3333 0.6667 0.2500
Tl 0.6667 0.3333 0.7500
Te 0.3333 0.6667 0.7500
Te 0.6667 0.3333 0.2500
O 0.0443 0.3766 0.6365
O 0.0443 0.6677 0.8635
O 0.3323 0.3766 0.8635
O 0.3323 0.9557 0.6365
O 0.3766 0.0443 0.1365
O 0.3766 0.3323 0.3635
O 0.6234 0.6677 0.6365
O 0.6234 0.9557 0.8635
O 0.6677 0.0443 0.3635
O 0.6677 0.6234 0.1365
O 0.9557 0.3323 0.1365
O 0.9557 0.6234 0.3635

Properties
SG: P-31c
Uncorrected energy, eV/atom: -6.076
Density of states at the Fermi level, states/eV/atom: 0.0000
Volume, Å³ per cell: 264

Entry 14:
PmTl2TeO8 | GGA-PBE | optimized geometry

a b c (Å): 5.0472 6.9966 5.0539
angles (deg): 90.00 90.50 90.00
Element x y z (fractional)
Pm 0.0000 0.0000 0.0000
Tl 0.5000 0.2586 0.5000
Tl 0.5000 0.7414 0.5000
Te 0.0000 0.5000 0.0000
O 0.1785 0.2904 0.8197
O 0.1785 0.7096 0.8197
O 0.2806 0.5000 0.2784
O 0.3178 0.0000 0.3132
O 0.6822 0.0000 0.6868
O 0.7194 0.5000 0.7216
O 0.8215 0.2904 0.1803
O 0.8215 0.7096 0.1803

Properties
SG: P2/m
Uncorrected energy, eV/atom: -5.564
Density of states at the Fermi level, states/eV/atom: 0.5201
Volume, Å³ per cell: 178

Entry 15:
PmTmTeO2 | GGA-PBE | optimized geometry

a b c (Å): 6.8685 4.1083 7.8153
angles (deg): 90.00 107.28 90.00
Element x y z (fractional)
Pm 0.1783 0.2500 0.4252
Pm 0.8217 0.7500 0.5748
Tm 0.1538 0.2500 0.9130
Tm 0.8462 0.7500 0.0870
Te 0.4524 0.7500 0.7517
Te 0.5476 0.2500 0.2483
O 0.0116 0.7500 0.8859
O 0.0168 0.7500 0.3714
O 0.9832 0.2500 0.6286
O 0.9884 0.2500 0.1141

Properties
SG: P2_1/m
Uncorrected energy, eV/atom: -7.406
Density of states at the Fermi level, states/eV/atom: 0.0000
Volume, Å³ per cell: 211

Entry 16:
PmTmTe2O | GGA-PBE | optimized geometry

a b c (Å): 4.1803 4.1803 15.6122
angles (deg): 90.00 90.00 90.00
Element x y z (fractional)
Pm 0.2500 0.2500 0.0705
Pm 0.7500 0.7500 0.9295
Tm 0.2500 0.2500 0.6279
Tm 0.7500 0.7500 0.3721
Te 0.2500 0.2500 0.4154
Te 0.2500 0.2500 0.8088
Te 0.7500 0.7500 0.1912
Te 0.7500 0.7500 0.5846
O 0.2500 0.7500 0.0000
O 0.7500 0.2500 0.0000

Properties
SG: P4/nmm
Uncorrected energy, eV/atom: -6.142
Density of states at the Fermi level, states/eV/atom: 0.2868
Volume, Å³ per cell: 273

Entry 17:
PmTmTe2O8 | GGA-PBE | optimized geometry

a b c (Å): 6.2687 6.2687 6.2687
angles (deg): 107.51 107.51 113.47
Element x y z (fractional)
Pm 0.0000 0.0000 0.0000
Tm 0.7500 0.2500 0.5000
Te 0.2500 0.7500 0.5000
Te 0.5000 0.5000 0.0000
O 0.0486 0.3684 0.3198
O 0.0486 0.7288 0.6802
O 0.1091 0.3000 0.8090
O 0.2712 0.9514 0.3198
O 0.4910 0.3000 0.1910
O 0.6316 0.9514 0.6802
O 0.7000 0.5090 0.8090
O 0.7000 0.8909 0.1910

Properties
SG: I-4m2
Uncorrected energy, eV/atom: -6.534
Density of states at the Fermi level, states/eV/atom: 0.1511
Volume, Å³ per cell: 189

Entry 18:
Pm2TmTeO8 | GGA-PBE | optimized geometry

a b c (Å): 5.1506 5.1506 6.9079
angles (deg): 90.00 90.00 91.25
Element x y z (fractional)
Pm 0.0000 0.0000 0.2496
Pm 0.0000 0.0000 0.7504
Tm 0.5000 0.5000 0.0000
Te 0.5000 0.5000 0.5000
O 0.2002 0.2002 0.0000
O 0.2319 0.2319 0.5000
O 0.3230 0.6770 0.2861
O 0.3230 0.6770 0.7139
O 0.6770 0.3230 0.2861
O 0.6770 0.3230 0.7139
O 0.7681 0.7681 0.5000
O 0.7998 0.7998 0.0000

Properties
SG: Cmmm
Uncorrected energy, eV/atom: -7.177
Density of states at the Fermi level, states/eV/atom: 0.6374
Volume, Å³ per cell: 183

Entry 19:
PmTm2TeO8 | GGA-PBE | optimized geometry

a b c (Å): 4.9712 4.9712 6.9634
angles (deg): 90.00 90.00 90.63
Element x y z (fractional)
Pm 0.0000 0.0000 0.0000
Tm 0.5000 0.5000 0.2603
Tm 0.5000 0.5000 0.7397
Te 0.0000 0.0000 0.5000
O 0.1858 0.8142 0.2922
O 0.1858 0.8142 0.7078
O 0.2801 0.2801 0.5000
O 0.3216 0.3216 0.0000
O 0.6784 0.6784 0.0000
O 0.7199 0.7199 0.5000
O 0.8142 0.1858 0.2922
O 0.8142 0.1858 0.7078

Properties
SG: Cmmm
Uncorrected energy, eV/atom: -7.234
Density of states at the Fermi level, states/eV/atom: 0.3556
Volume, Å³ per cell: 172

Entry 20:
PmUTe2O | GGA-PBE | optimized geometry

a b c (Å): 4.1920 4.1920 15.9154
angles (deg): 90.00 90.00 90.00
Element x y z (fractional)
Pm 0.2500 0.2500 0.1346
Pm 0.7500 0.7500 0.8654
U 0.2500 0.2500 0.5677
U 0.7500 0.7500 0.4323
Te 0.2500 0.2500 0.3264
Te 0.2500 0.2500 0.9165
Te 0.7500 0.7500 0.0835
Te 0.7500 0.7500 0.6736
O 0.2500 0.7500 0.5000
O 0.7500 0.2500 0.5000

Properties
SG: P4/nmm
Uncorrected energy, eV/atom: -7.202
Density of states at the Fermi level, states/eV/atom: 1.5786
Volume, Å³ per cell: 280